The following is a DFT calculation (GGA-PBE) of a geometry-optimized Pm5Ho3Bi8 structure.

Computed properties:
Formation enthalpy at 0 K = -86.6 kJ/mol of atoms
Electronic total energy = -5.1812 eV per atom
N(E_F) = 2.798 states/eV/f.u.

abc: 9.0742 9.0742 9.0693
angles: 59.98 59.98 60.00
Last column: nearest neighbours and their distance in Å.
Atoms (fractional coordinates):
Pm 0.5000 0.0000 0.0000  6 Bi 3.24
Pm 0.5000 0.5000 0.0000  6 Bi 3.24
Pm 0.0000 0.0000 0.0000  6 Bi 3.21
Pm 0.0000 0.5000 0.0000  6 Bi 3.24
Pm 0.5000 0.5000 0.5000  6 Bi 3.21
Ho 0.5000 0.0000 0.5000  6 Bi 3.17
Ho 0.0000 0.0000 0.5000  6 Bi 3.17
Ho 0.0000 0.5000 0.5000  6 Bi 3.17
Bi 0.2500 0.2500 0.7447  2 Ho 3.17, 4 Pm 3.21-3.24
Bi 0.2500 0.7553 0.7447  2 Ho 3.17, 4 Pm 3.21-3.24
Bi 0.7553 0.2500 0.7447  2 Ho 3.17, 4 Pm 3.21-3.24
Bi 0.7526 0.7526 0.7421  3 Ho 3.17, 3 Pm 3.24
Bi 0.7500 0.7500 0.2553  2 Ho 3.17, 4 Pm 3.21-3.24
Bi 0.7500 0.2447 0.2553  2 Ho 3.17, 4 Pm 3.21-3.24
Bi 0.2447 0.7500 0.2553  2 Ho 3.17, 4 Pm 3.21-3.24
Bi 0.2474 0.2474 0.2579  3 Ho 3.17, 3 Pm 3.24